! NaNiPO11, relaxed, DFT GGA+U; values from VASP
&SYSTEM
  ibrav = 0, nat = 28, ntyp = 4
/
ATOMIC_SPECIES
Na 22.99 Na.upf
Ni 58.69 Ni.upf
P 30.97 P.upf
O 16.00 O.upf
CELL_PARAMETERS angstrom
6.513 0.000 0.000
0.000 6.513 0.000
0.000 0.000 9.416
ATOMIC_POSITIONS crystal
Na 0.000 0.000 0.000
Na 0.000 0.000 0.500
Ni 0.000 0.500 0.000
Ni 0.500 0.000 0.500
P 0.500 0.500 0.250
P 0.500 0.500 0.750
O 0.000 0.000 0.250
O 0.000 0.000 0.750
O 0.000 0.500 0.195
O 0.000 0.500 0.805
O 0.192 0.296 0.000
O 0.192 0.704 0.000
O 0.296 0.192 0.500
O 0.296 0.808 0.500
O 0.302 0.500 0.344
O 0.302 0.500 0.656
O 0.500 0.000 0.305
O 0.500 0.000 0.695
O 0.500 0.302 0.156
O 0.500 0.302 0.844
O 0.500 0.698 0.156
O 0.500 0.698 0.844
O 0.698 0.500 0.344
O 0.698 0.500 0.656
O 0.704 0.192 0.500
O 0.704 0.808 0.500
O 0.808 0.296 0.000
O 0.808 0.704 0.000
! * total energy: -4.321 eV/atom
! * V: 399 Å³ per cell